Entry one
The following is a PBE calculation of a relaxed NaPrMg crystal, from OQMD.

Unit cell a=5.3737 b=5.3737 c=5.3737 alpha=60.00 beta=60.00 gamma=60.00
Element x y z (fractional)
Na  0.0000  0.0000  0.0000
Pr  0.7500  0.7500  0.7500
Mg  0.5000  0.5000  0.5000

## Properties
- space group = No. 216

=====

Entry two
The following is a PBE calculation of a relaxed NaPrMg crystal, from OQMD.

Unit cell a=5.3057 b=5.3057 c=5.3057 alpha=60.00 beta=60.00 gamma=60.00
Element x y z (fractional)
Na  0.0000  0.0000  0.0000
Pr  0.5000  0.5000  0.5000
Mg  0.2500  0.2500  0.2500

## Properties
- space group = No. 216

=====

Least stable = entry one

=====

Entry one
The following is a PBE calculation of a relaxed NaMgPt crystal, from OQMD.

Unit cell a=4.4795 b=4.4795 c=4.4795 alpha=60.00 beta=60.00 gamma=60.00
Element x y z (fractional)
Na  0.0000  0.0000  0.0000
Mg  0.7500  0.7500  0.7500
Pt  0.2500  0.2500  0.2500

## Properties
- space group = No. 216

=====

Entry two
The following is a PBE calculation of a relaxed NaMgPt crystal, from OQMD.

Unit cell a=4.5506 b=4.5506 c=4.5506 alpha=60.00 beta=60.00 gamma=60.00
Element x y z (fractional)
Na  0.0000  0.0000  0.0000
Mg  0.5000  0.5000  0.5000
Pt  0.7500  0.7500  0.7500

## Properties
- space group = No. 216

=====

Least stable = entry one

=====

Entry one
The following is a PBE calculation of a relaxed NaSmMgS3 crystal, from OQMD.

Unit cell a=6.8671 b=6.8671 c=11.1012 alpha=90.00 beta=90.00 gamma=145.55
Element x y z (fractional)
Na  0.2492  0.7508  0.7500
Na  0.7508  0.2492  0.2500
Sm  0.5000  0.5000  0.0000
Sm  0.5000  0.5000  0.5000
Mg  0.0285  0.9715  0.2500
Mg  0.9715  0.0285  0.7500
S  0.1318  0.8682  0.0733
S  0.1318  0.8682  0.4267
S  0.4223  0.5777  0.2500
S  0.5777  0.4223  0.7500
S  0.8682  0.1318  0.5733
S  0.8682  0.1318  0.9267

## Properties
- space group = No. 63

=====

Entry two
The following is a PBE calculation of a relaxed NaSmMgS3 crystal, from OQMD.

Unit cell a=7.9423 b=4.0929 c=10.7202 alpha=90.00 beta=106.05 gamma=90.00
Element x y z (fractional)
Na  0.1698  0.2500  0.1301
Na  0.8302  0.7500  0.8699
Sm  0.3319  0.7500  0.8536
Sm  0.6681  0.2500  0.1464
Mg  0.0520  0.2500  0.6132
Mg  0.9480  0.7500  0.3868
S  0.0771  0.2500  0.8447
S  0.2057  0.7500  0.5777
S  0.4245  0.7500  0.1253
S  0.5755  0.2500  0.8747
S  0.7943  0.2500  0.4223
S  0.9229  0.7500  0.1553

## Properties
- space group = No. 11

=====

Least stable = entry one

=====

Entry one
The following is a PBE calculation of a relaxed NaMgZn crystal, from OQMD.

Unit cell a=4.8163 b=4.8163 c=4.8163 alpha=60.00 beta=60.00 gamma=60.00
Element x y z (fractional)
Na  0.0000  0.0000  0.0000
Mg  0.2500  0.2500  0.2500
Zn  0.5000  0.5000  0.5000

## Properties
- space group = No. 216

=====

Entry two
The following is a PBE calculation of a relaxed NaMgZn crystal, from OQMD.

Unit cell a=4.8457 b=4.8457 c=4.8457 alpha=60.00 beta=60.00 gamma=60.00
Element x y z (fractional)
Na  0.0000  0.0000  0.0000
Mg  0.7500  0.7500  0.7500
Zn  0.2500  0.2500  0.2500

## Properties
- space group = No. 216

=====

Least stable = entry two

=====

Entry one
The following is a PBE calculation of a relaxed MgNbNiSb crystal, from OQMD.

Unit cell a=4.6000 b=4.6000 c=4.6000 alpha=60.00 beta=60.00 gamma=60.00
Element x y z (fractional)
Mg  0.0000  0.0000  0.0000
Nb  0.2500  0.2500  0.2500
Ni  0.7500  0.7500  0.7500
Sb  0.5000  0.5000  0.5000

## Properties
- space group = No. 216

=====

Entry two
The following is a PBE calculation of a relaxed MgNbNiSb crystal, from OQMD.

Unit cell a=4.6300 b=4.6300 c=4.6300 alpha=60.00 beta=60.00 gamma=60.00
Element x y z (fractional)
Mg  0.0000  0.0000  0.0000
Nb  0.7500  0.7500  0.7500
Ni  0.5000  0.5000  0.5000
Sb  0.2500  0.2500  0.2500

## Properties
- space group = No. 216

=====

Least stable = entry two

=====

Entry one
The following is a PBE calculation of a relaxed MgNbNiSn crystal, from OQMD.

Unit cell a=4.6166 b=4.6166 c=4.6166 alpha=60.00 beta=60.00 gamma=60.00
Element x y z (fractional)
Mg  0.0000  0.0000  0.0000
Nb  0.2500  0.2500  0.2500
Ni  0.7500  0.7500  0.7500
Sn  0.5000  0.5000  0.5000

## Properties
- space group = No. 216

=====

Entry two
The following is a PBE calculation of a relaxed MgNbNiSn crystal, from OQMD.

Unit cell a=4.5939 b=4.5939 c=4.5939 alpha=60.00 beta=60.00 gamma=60.00
Element x y z (fractional)
Mg  0.0000  0.0000  0.0000
Nb  0.7500  0.7500  0.7500
Ni  0.5000  0.5000  0.5000
Sn  0.2500  0.2500  0.2500

## Properties
- space group = No. 216

=====

Least stable = entry two

=====

Entry one
The following is a PBE calculation of a relaxed MgNbPO crystal, from OQMD.

Unit cell a=4.0673 b=4.0673 c=8.8198 alpha=90.00 beta=90.00 gamma=90.00
Element x y z (fractional)
Mg  0.2500  0.2500  0.0038
Mg  0.7500  0.7500  0.9962
Nb  0.2500  0.7500  0.5000
Nb  0.7500  0.2500  0.5000
P  0.2500  0.2500  0.6621
P  0.7500  0.7500  0.3379
O  0.2500  0.7500  0.0000
O  0.7500  0.2500  0.0000

## Properties
- space group = No. 129

=====

Entry two
The following is a PBE calculation of a relaxed MgNbPO crystal, from OQMD.

Unit cell a=3.6233 b=3.6233 c=8.3046 alpha=90.00 beta=90.00 gamma=90.00
Element x y z (fractional)
Mg  0.2500  0.7500  0.0000
Mg  0.7500  0.2500  0.0000
Nb  0.2500  0.2500  0.3494
Nb  0.7500  0.7500  0.6506
P  0.2500  0.2500  0.7823
P  0.7500  0.7500  0.2177
O  0.2500  0.7500  0.5000
O  0.7500  0.2500  0.5000

## Properties
- space group = No. 129

=====

Least stable = entry two

=====

Entry one
The following is a PBE calculation of a relaxed MgNbPO crystal, from OQMD.

Unit cell a=3.3777 b=6.3296 c=5.8028 alpha=90.00 beta=90.00 gamma=90.00
Element x y z (fractional)
Mg  0.0000  0.1106  0.0000
Mg  0.0000  0.8894  0.5000
Nb  0.5000  0.4909  0.6743
Nb  0.5000  0.5091  0.1743
P  0.0000  0.2845  0.4176
P  0.0000  0.7155  0.9176
O  0.5000  0.2448  0.9239
O  0.5000  0.7552  0.4239

## Properties
- space group = No. 26

=====

Entry two
The following is a PBE calculation of a relaxed MgNbPO crystal, from OQMD.

Unit cell a=3.8571 b=6.0900 c=5.2610 alpha=90.00 beta=90.00 gamma=90.00
Element x y z (fractional)
Mg  0.0000  0.0014  0.0000
Mg  0.0000  0.9986  0.5000
Nb  0.5000  0.3609  0.2521
Nb  0.5000  0.6391  0.7521
P  0.5000  0.2349  0.7514
P  0.5000  0.7651  0.2514
O  0.0000  0.2430  0.2519
O  0.0000  0.7570  0.7519

## Properties
- space group = No. 26

=====

Least stable = entry two

=====

Entry one
The following is a PBE calculation of a relaxed MgNbOs crystal, from OQMD.

Unit cell a=4.3657 b=4.3657 c=4.3657 alpha=60.00 beta=60.00 gamma=60.00
Element x y z (fractional)
Mg  0.0000  0.0000  0.0000
Nb  0.2500  0.2500  0.2500
Os  0.5000  0.5000  0.5000

## Properties
- space group = No. 216

=====

Entry two
The following is a PBE calculation of a relaxed MgNbOs crystal, from OQMD.

Unit cell a=4.3537 b=4.3537 c=4.3537 alpha=60.00 beta=60.00 gamma=60.00
Element x y z (fractional)
Mg  0.0000  0.0000  0.0000
Nb  0.5000  0.5000  0.5000
Os  0.2500  0.2500  0.2500

## Properties
- space group = No. 216

=====

Least stable = entry one

=====

Entry one
The following is a PBE calculation of a relaxed MgPaNb crystal, from OQMD.

Unit cell a=4.6525 b=4.6525 c=4.6525 alpha=60.00 beta=60.00 gamma=60.00
Element x y z (fractional)
Mg  0.0000  0.0000  0.0000
Pa  0.5000  0.5000  0.5000
Nb  0.2500  0.2500  0.2500

## Properties
- space group = No. 216

=====

Entry two
The following is a PBE calculation of a relaxed MgPaNb crystal, from OQMD.

Unit cell a=4.7622 b=4.7622 c=4.7622 alpha=60.00 beta=60.00 gamma=60.00
Element x y z (fractional)
Mg  0.0000  0.0000  0.0000
Pa  0.2500  0.2500  0.2500
Nb  0.5000  0.5000  0.5000

## Properties
- space group = No. 216

=====

Least stable = entry two

=====

Entry one
The following is a PBE calculation of a relaxed PuMgNb crystal, from OQMD.

Unit cell a=4.6085 b=4.6085 c=4.6085 alpha=60.00 beta=60.00 gamma=60.00
Element x y z (fractional)
Pu  0.0000  0.0000  0.0000
Mg  0.7500  0.7500  0.7500
Nb  0.2500  0.2500  0.2500

## Properties
- space group = No. 216

=====

Entry two
The following is a PBE calculation of a relaxed PuMgNb crystal, from OQMD.

Unit cell a=4.5210 b=4.5210 c=4.5210 alpha=60.00 beta=60.00 gamma=60.00
Element x y z (fractional)
Pu  0.0000  0.0000  0.0000
Mg  0.5000  0.5000  0.5000
Nb  0.7500  0.7500  0.7500

## Properties
- space group = No. 216

=====

Least stable = entry one

=====

Entry one
The following is a PBE calculation of a relaxed RbMgNbS3 crystal, from OQMD.

Unit cell a=8.7075 b=3.7259 c=9.8751 alpha=90.00 beta=114.20 gamma=90.00
Element x y z (fractional)
Rb  0.2154  0.2500  0.2477
Rb  0.7846  0.7500  0.7523
Mg  0.0984  0.2500  0.6224
Mg  0.9016  0.7500  0.3776
Nb  0.3726  0.7500  0.8955
Nb  0.6274  0.2500  0.1045
S  0.1532  0.2500  0.8800
S  0.2118  0.7500  0.5441
S  0.4742  0.7500  0.1653
S  0.5258  0.2500  0.8347
S  0.7882  0.2500  0.4559
S  0.8468  0.7500  0.1200

## Properties
- space group = No. 11

=====

Entry two
The following is a PBE calculation of a relaxed RbMgNbS3 crystal, from OQMD.

Unit cell a=7.8154 b=7.8154 c=10.0617 alpha=90.00 beta=90.00 gamma=151.96
Element x y z (fractional)
Rb  0.2423  0.7577  0.7500
Rb  0.7577  0.2423  0.2500
Mg  0.0343  0.9657  0.2500
Mg  0.9657  0.0343  0.7500
Nb  0.5000  0.5000  0.0000
Nb  0.5000  0.5000  0.5000
S  0.1141  0.8859  0.0448
S  0.1141  0.8859  0.4552
S  0.4379  0.5621  0.2500
S  0.5621  0.4379  0.7500
S  0.8859  0.1141  0.5448
S  0.8859  0.1141  0.9552

## Properties
- space group = No. 63

=====

Least stable = entry two

=====

Entry one
The following is a PBE calculation of a relaxed MgNbReSi crystal, from OQMD.

Unit cell a=4.4298 b=4.4298 c=4.4298 alpha=60.00 beta=60.00 gamma=60.00
Element x y z (fractional)
Mg  0.0000  0.0000  0.0000
Nb  0.7500  0.7500  0.7500
Re  0.2500  0.2500  0.2500
Si  0.5000  0.5000  0.5000

## Properties
- space group = No. 216

=====

Entry two
The following is a PBE calculation of a relaxed MgNbReSi crystal, from OQMD.

Unit cell a=4.4238 b=4.4238 c=4.4238 alpha=60.00 beta=60.00 gamma=60.00
Element x y z (fractional)
Mg  0.0000  0.0000  0.0000
Nb  0.2500  0.2500  0.2500
Re  0.5000  0.5000  0.5000
Si  0.7500  0.7500  0.7500

## Properties
- space group = No. 216

=====

Least stable = entry one

=====

Entry one
The following is a PBE calculation of a relaxed MgZrNbRe crystal, from OQMD.

Unit cell a=4.6895 b=4.6895 c=4.6895 alpha=60.00 beta=60.00 gamma=60.00
Element x y z (fractional)
Mg  0.0000  0.0000  0.0000
Zr  0.7500  0.7500  0.7500
Nb  0.2500  0.2500  0.2500
Re  0.5000  0.5000  0.5000

## Properties
- space group = No. 216

=====

Entry two
The following is a PBE calculation of a relaxed MgZrNbRe crystal, from OQMD.

Unit cell a=4.6694 b=4.6694 c=4.6694 alpha=60.00 beta=60.00 gamma=60.00
Element x y z (fractional)
Mg  0.0000  0.0000  0.0000
Zr  0.7500  0.7500  0.7500
Nb  0.5000  0.5000  0.5000
Re  0.2500  0.2500  0.2500

## Properties
- space group = No. 216

=====

Least stable = entry two